The following is a GGA-PBE calculation of crystalline OsRh2 at its relaxed geometry, from Alexandria via LeMat-Bulk.

Results
Crystal system ... trigonal
DOS(E_F) ... 3.510 states/eV/cell
Magnetization ... 0.00 Bohr magnetons per cell
Uncorrected energy ... -7.713 eV/atom
Energy above the most stable polymorph in this dataset ... 0.915 eV/atom
Space group ... No. 164
Theoretical density ... 12.9 g cm⁻³
ΔE_f ... 0.931 eV/atom

Unit cell a=3.5309 b=3.5309 c=4.7250 alpha=90.00 beta=90.00 gamma=120.00
Sites, in units of the cell vectors:
1 Os 0.0000 0.0000 0.0000
2 Rh 0.3333 0.6667 0.2945
3 Rh 0.6667 0.3333 0.7055